(1)
InTcNi2 PBE optimized geometry; total moment = 0.000 μB per atom; crystal system = monoclinic; symmetry = P2/m (10); energy of formation = 0.096 eV per atom
1.0
2.7685 0.0000 0.0000
0.0000 3.6056 0.0000
-0.0101 0.0000 5.7006
In Tc Ni
1 1 2
direct
0.0000 0.0000 0.0000 In
0.0000 0.0000 0.5000 Tc
0.5003 0.5000 0.2809 Ni
0.4997 0.5000 0.7191 Ni

(2)
Mg6RhPb PBE optimized geometry; total moment = 0.000 μB per atom; crystal system = trigonal; symmetry = R-3m (166); energy of formation = -0.046 eV per atom
1.0
4.9413 2.8528 2.0868
-4.9413 2.8528 2.0868
0.0000 -5.7057 2.0868
Mg Rh Pb
6 1 1
direct
0.2528 0.2528 0.7176 Mg
0.2528 0.7176 0.2528 Mg
0.2824 0.7472 0.7472 Mg
0.7176 0.2528 0.2528 Mg
0.7472 0.2824 0.7472 Mg
0.7472 0.7472 0.2824 Mg
0.5000 0.5000 0.5000 Rh
0.0000 0.0000 0.0000 Pb

(3)
ZnAs2Rh4 PBE optimized geometry; total moment = 0.000 μB per atom; crystal system = orthorhombic; symmetry = Pnma (62); polymorph energy (0 for the lowest one) = 0.000 eV/atom; energy of formation = -0.393 eV per atom
1.0
18.6453 0.0000 0.0000
0.0000 3.8564 0.0000
0.0000 0.0000 5.8749
Zn As Rh
4 8 16
direct
0.1235 0.2500 0.0281 Zn
0.3765 0.7500 0.5281 Zn
0.6235 0.2500 0.4719 Zn
0.8765 0.7500 0.9719 Zn
0.0425 0.7500 0.7328 As
0.2149 0.2500 0.4979 As
0.2851 0.7500 0.9979 As
0.4575 0.2500 0.2328 As
0.5425 0.7500 0.7672 As
0.7149 0.2500 0.0021 As
0.7851 0.7500 0.5021 As
0.9575 0.2500 0.2672 As
0.0341 0.7500 0.1543 Rh
0.0823 0.2500 0.4936 Rh
0.1775 0.7500 0.7490 Rh
0.1870 0.7500 0.2559 Rh
0.3130 0.2500 0.7559 Rh
0.3225 0.2500 0.2490 Rh
0.4177 0.7500 0.9936 Rh
0.4659 0.2500 0.6543 Rh
0.5341 0.7500 0.3457 Rh
0.5823 0.2500 0.0064 Rh
0.6775 0.7500 0.7510 Rh
0.6870 0.7500 0.2441 Rh
0.8130 0.2500 0.7441 Rh
0.8225 0.2500 0.2510 Rh
0.9177 0.7500 0.5064 Rh
0.9659 0.2500 0.8457 Rh

In states/eV/atom, the DOS at the Fermi energy values for the records above are, in order, 1.030; 0.326; 0.364.